1.
Compound: NpPaSnRh
Source: Alexandria
Functional: PBE
Structure: optimized geometry

Properties
- Energy of formation: -0.140 eV/atom
- Space-group type: F-43m (216)

Cell: 4.9554 4.9554 4.9554 Å, 60.00 60.00 60.00°
Positions (direct):
Np: 0.0000 0.0000 0.0000
Pa: 0.2500 0.2500 0.2500
Sn: 0.7500 0.7500 0.7500
Rh: 0.5000 0.5000 0.5000


2.
Compound: NpPaTcRh
Source: Alexandria
Functional: PBE
Structure: optimized geometry

Properties
- Energy of formation: -0.180 eV/atom
- Space-group type: F-43m (216)

Cell: 4.8257 4.8257 4.8257 Å, 60.00 60.00 60.00°
Positions (direct):
Np: 0.0000 0.0000 0.0000
Pa: 0.5000 0.5000 0.5000
Tc: 0.7500 0.7500 0.7500
Rh: 0.2500 0.2500 0.2500


3.
Compound: ZrNpPaRh
Source: Alexandria
Functional: PBE
Structure: optimized geometry

Properties
- Energy of formation: -0.088 eV/atom
- Space-group type: F-43m (216)

Cell: 4.8652 4.8652 4.8652 Å, 60.00 60.00 60.00°
Positions (direct):
Zr: 0.0000 0.0000 0.0000
Np: 0.7500 0.7500 0.7500
Pa: 0.5000 0.5000 0.5000
Rh: 0.2500 0.2500 0.2500


4.
Compound: NpPa2Ru
Source: Alexandria
Functional: PBE
Structure: optimized geometry

Properties
- Energy of formation: -0.028 eV/atom
- Space-group type: Fm-3m (225)
- Excess energy over the best structure of this formula in the dataset: 0.0819 eV per atom

Cell: 4.8949 4.8949 4.8949 Å, 60.00 60.00 60.00°
Positions (direct):
Np: 0.0000 0.0000 0.0000
Pa: 0.2500 0.2500 0.2500
Pa: 0.7500 0.7500 0.7500
Ru: 0.5000 0.5000 0.5000


5.
Compound: NpPa2Ru
Source: Alexandria
Functional: PBE
Structure: optimized geometry

Properties
- Energy of formation: 0.240 eV/atom
- Space-group type: R-3m (166)
- Excess energy over the best structure of this formula in the dataset: 0.3504 eV per atom

Cell: 10.5022 10.5022 10.5022 Å, 16.59 16.59 16.59°
Positions (direct):
Np: 0.0000 0.0000 0.0000
Pa: 0.0914 0.0914 0.0914
Pa: 0.9086 0.9086 0.9086
Ru: 0.5000 0.5000 0.5000


6.
Compound: NpPa2Ru
Source: Alexandria
Functional: PBE
Structure: optimized geometry

Properties
- Energy of formation: -0.110 eV/atom
- Space-group type: P4/mmm (123)
- Excess energy over the best structure of this formula in the dataset: 0.0000 eV per atom

Cell: 5.0772 5.0772 3.1738 Å, 90.00 90.00 90.00°
Positions (direct):
Np: 0.0000 0.0000 0.0000
Pa: 0.0000 0.5000 0.5000
Pa: 0.5000 0.0000 0.5000
Ru: 0.5000 0.5000 0.0000


7.
Compound: Np2PaSi2Ru5
Source: Alexandria
Functional: PBE
Structure: optimized geometry

Properties
- E_form (uncorrected): -0.38 eV per atom
- Space-group type: P4/mbm (127)

Cell: 9.9249 9.9249 3.5105 Å, 90.00 90.00 90.00°
Positions (direct):
Np: 0.1699 0.3301 0.0000
Np: 0.3301 0.8301 0.0000
Np: 0.6699 0.1699 0.0000
Np: 0.8301 0.6699 0.0000
Pa: 0.0000 0.0000 0.0000
Pa: 0.5000 0.5000 0.0000
Si: 0.1263 0.6263 0.0000
Si: 0.3737 0.1263 0.0000
Si: 0.6263 0.8737 0.0000
Si: 0.8737 0.3737 0.0000
Ru: 0.0000 0.5000 0.5000
Ru: 0.0720 0.7882 0.5000
Ru: 0.2118 0.0720 0.5000
Ru: 0.2882 0.5720 0.5000
Ru: 0.4280 0.2882 0.5000
Ru: 0.5000 0.0000 0.5000
Ru: 0.5720 0.7118 0.5000
Ru: 0.7118 0.4280 0.5000
Ru: 0.7882 0.9280 0.5000
Ru: 0.9280 0.2118 0.5000


8.
Compound: NpPaTcRu
Source: Alexandria
Functional: PBE
Structure: optimized geometry

Properties
- Energy of formation: -0.079 eV/atom
- Space-group type: F-43m (216)

Cell: 4.8069 4.8069 4.8069 Å, 60.00 60.00 60.00°
Positions (direct):
Np: 0.0000 0.0000 0.0000
Pa: 0.5000 0.5000 0.5000
Tc: 0.2500 0.2500 0.2500
Ru: 0.7500 0.7500 0.7500


9.
Compound: ZrNpPaRu
Source: Alexandria
Functional: PBE
Structure: optimized geometry

Properties
- Energy of formation: 0.050 eV/atom
- Space-group type: F-43m (216)

Cell: 4.8486 4.8486 4.8486 Å, 60.00 60.00 60.00°
Positions (direct):
Zr: 0.0000 0.0000 0.0000
Np: 0.2500 0.2500 0.2500
Pa: 0.5000 0.5000 0.5000
Ru: 0.7500 0.7500 0.7500


10.
Compound: Np3Pa2S8
Source: Alexandria
Functional: PBE
Structure: optimized geometry

Properties
- E_form (uncorrected): -1.37 eV per atom
- Space-group type: C2/m (12)

Cell: 7.9979 7.9979 6.5849 Å, 106.81 106.81 58.69°
Positions (direct):
Np: 0.0000 0.0000 0.0000
Np: 0.2560 0.7440 0.5000
Np: 0.7440 0.2560 0.5000
Pa: 0.2594 0.2594 0.8349
Pa: 0.7406 0.7406 0.1651
S: 0.1087 0.6371 0.0829
S: 0.1206 0.1206 0.4296
S: 0.3629 0.8913 0.9171
S: 0.3853 0.3853 0.6008
S: 0.6147 0.6147 0.3992
S: 0.6371 0.1087 0.0829
S: 0.8794 0.8794 0.5704
S: 0.8913 0.3629 0.9171


11.
Compound: NpPaS2
Source: Alexandria
Functional: PBE
Structure: optimized geometry

Properties
- E_form (uncorrected): -1.52 eV per atom
- Space-group type: R-3m (166)
- Excess energy over the best structure of this formula in the dataset: 0.0000 eV per atom

Cell: 6.7087 6.7087 6.7087 Å, 33.75 33.75 33.75°
Positions (direct):
Np: 0.0000 0.0000 0.0000
Pa: 0.5000 0.5000 0.5000
S: 0.2520 0.2520 0.2520
S: 0.7480 0.7480 0.7480


12.
Compound: Np2Pa2S7
Source: Alexandria
Functional: PBE
Structure: optimized geometry

Properties
- E_form (uncorrected): -1.54 eV per atom
- Space-group type: Imm2 (44)
- Excess energy over the best structure of this formula in the dataset: 0.0000 eV per atom

Cell: 8.3837 8.3837 8.3837 Å, 153.03 67.88 119.03°
Positions (direct):
Np: 0.0000 0.0000 0.0000
Np: 0.5497 0.0497 0.5000
Pa: 0.0655 0.8071 0.2584
Pa: 0.5487 0.8071 0.7416
S: 0.2302 0.7302 0.5000
S: 0.2938 0.1096 0.1842
S: 0.3562 0.4965 0.8596
S: 0.6369 0.4965 0.1404
S: 0.7171 0.3293 0.3878
S: 0.9254 0.1096 0.8158
S: 0.9415 0.3293 0.6122